# NaTl2VO4

NaTl2VO4 after structural relaxation (GGA+U, Alexandria via LeMat-Bulk).

The structure in POSCAR format:
```
NaTl2VO4
1.0
0.000 5.725 10.450
2.844 0.000 10.450
2.844 5.725 0.000
Na Tl V O
2 4 2 8
Cartesian
0.711 1.431 2.613
4.977 10.019 18.288
2.133 4.294 1.385
3.555 7.157 6.610
2.133 4.294 14.291
3.555 7.157 19.516
2.133 4.294 7.838
3.555 7.157 13.063
3.197 3.229 6.936
3.197 5.358 8.739
4.619 6.092 13.964
4.619 8.221 12.161
1.069 3.229 8.739
1.069 5.358 6.936
2.491 6.092 12.161
2.491 8.221 13.964
```

## Properties
Space group: Fddd
Mass density in g/cm³: 5.3
Total moment in μB/f.u.: 0.00
Calculated total energy in eV/cell: -87.83